DFT (PBE) results for a relaxed structure of Pm4Tm3Sc.

DOS(E_F)	1.8610	states/eV/atom
E above lowest polymorph	0.0	meV/atom
energy	-4.81	eV/atom

Lattice parameters (Å, degrees): 11.320 7.225 6.210 90.00 90.00 90.00
Space group Pmn2_1 (No. 31)
Symmetry-distinct sites (fractional):
Pm1 0.000 0.129 0.000 (multiplicity 2)
Pm2 0.000 0.868 0.519 (multiplicity 2)
Pm3 0.243 0.131 0.351 (multiplicity 4)
Tm1 0.000 0.620 0.014 (multiplicity 2)
Tm2 0.250 0.382 0.844 (multiplicity 4)
Sc1 0.000 0.385 0.510 (multiplicity 2)